[1]
Entry from Alexandria via LeMat-Bulk: an optimized crystal structure of Pr9Os2Br14 (GGA-PBE).

POSCAR file:
```
Pr9Os2Br14
1.0
8.932 0.000 0.000
-4.466 7.735 0.000
0.000 0.000 12.134
Pr Os Br
9 2 14
Cartesian
0.000 0.000 0.000 Pr
-0.860 2.879 4.141 Pr
-1.543 7.040 4.141 Pr
0.000 5.157 0.454 Pr
2.064 2.184 7.993 Pr
2.402 5.551 4.141 Pr
4.466 2.578 11.680 Pr
6.008 0.695 7.993 Pr
5.326 4.856 7.993 Pr
0.000 5.157 3.111 Os
4.466 2.578 9.023 Os
0.000 0.000 3.107 Br
0.000 0.000 9.027 Br
-2.668 5.358 11.024 Br
-1.028 3.101 7.239 Br
1.160 2.746 11.024 Br
-1.267 7.075 7.239 Br
2.958 0.368 1.110 Br
2.172 2.440 4.895 Br
2.294 5.295 7.239 Br
1.508 7.367 11.024 Br
5.733 0.660 4.895 Br
3.306 4.989 1.110 Br
5.493 4.634 4.895 Br
7.134 2.378 1.110 Br
```

Output
- Crystal system: trigonal
- Total magnetization: 4.37 μB/f.u.

***

[2]
Entry from Alexandria via LeMat-Bulk: an optimized crystal structure of PrOsBr (GGA-PBE).

POSCAR file:
```
PrOsBr
1.0
2.125 1.227 11.626
-2.125 1.227 11.626
0.000 -2.453 11.626
Pr Os Br
2 2 2
Cartesian
0.000 0.000 2.107 Pr
0.000 0.000 32.772 Pr
0.000 0.000 11.743 Os
0.000 0.000 23.137 Os
0.000 0.000 7.619 Br
0.000 0.000 27.261 Br
```

Output
- Crystal system: trigonal
- Total magnetization: 0.00 μB/f.u.

***

[3]
Entry from Alexandria via LeMat-Bulk: an optimized crystal structure of Pr3OsBr3 (GGA-PBE).

POSCAR file:
```
Pr3OsBr3
1.0
9.039 0.000 0.000
0.000 4.299 0.000
-0.532 0.000 12.297
Pr Os Br
6 2 6
Cartesian
0.742 1.075 4.716 Pr
0.646 1.075 10.317 Pr
2.540 3.224 7.613 Pr
5.966 1.075 4.684 Pr
7.861 3.224 1.980 Pr
7.765 3.224 7.581 Pr
0.657 1.075 7.629 Os
7.850 3.224 4.668 Os
0.973 1.075 1.407 Br
2.741 3.224 10.701 Br
3.414 3.224 4.584 Br
5.093 1.075 7.714 Br
5.766 1.075 1.597 Br
7.534 3.224 10.890 Br
```

Output
- Crystal system: monoclinic
- Energy above the most stable polymorph in this dataset: 0.00 eV per formula unit
- Total magnetization: 0.00 μB/f.u.

***

[4]
Entry from Alexandria via LeMat-Bulk: an optimized crystal structure of Pr6OsBr10 (GGA-PBE).

POSCAR file:
```
Pr6OsBr10
1.0
7.763 0.000 0.000
-2.588 9.121 0.000
-1.123 -3.541 9.084
Pr Os Br
6 1 10
Cartesian
-0.755 0.496 3.749 Pr
-0.665 4.176 2.289 Pr
0.422 3.445 6.250 Pr
3.630 2.135 2.835 Pr
4.717 1.404 6.796 Pr
4.806 5.084 5.336 Pr
-1.856 2.790 4.542 Os
-1.916 6.771 3.031 Br
0.797 1.716 1.415 Br
-0.680 1.925 8.608 Br
-0.680 5.986 7.033 Br
1.994 0.908 5.256 Br
2.057 4.671 3.828 Br
4.732 -0.406 2.051 Br
4.732 3.655 0.476 Br
3.255 3.864 7.669 Br
5.968 -1.191 6.053 Br
```

Output
- Crystal system: triclinic
- Total magnetization: 0.00 μB/f.u.

***

[5]
Entry from Alexandria via LeMat-Bulk: an optimized crystal structure of Pr3OsBr3 (GGA-PBE).

POSCAR file:
```
Pr3OsBr3
1.0
-6.091 6.091 6.091
6.091 -6.091 6.091
6.091 6.091 -6.091
Pr Os Br
12 4 12
Cartesian
1.719 1.523 -1.327 Pr
7.419 1.719 -1.523 Pr
1.523 -1.327 1.719 Pr
4.764 4.373 -1.523 Pr
4.373 1.523 1.327 Pr
-1.327 1.719 1.523 Pr
4.373 -1.523 4.764 Pr
1.523 1.327 4.373 Pr
1.327 4.373 1.523 Pr
1.719 -1.523 7.419 Pr
-1.523 7.419 1.719 Pr
-1.523 4.764 4.373 Pr
4.569 1.523 -1.523 Os
1.523 1.523 1.523 Os
1.523 -1.523 4.569 Os
-1.523 4.569 1.523 Os
7.614 1.470 1.576 Br
7.614 -1.470 4.515 Br
4.515 7.614 -1.470 Br
4.622 1.576 4.569 Br
4.569 4.622 1.576 Br
1.576 7.614 1.470 Br
7.561 4.515 4.569 Br
1.576 4.569 4.622 Br
1.470 1.576 7.614 Br
4.569 7.561 4.515 Br
-1.470 4.515 7.614 Br
4.515 4.569 7.561 Br
```

Output
- Crystal system: cubic
- Energy above the most stable polymorph in this dataset: 0.09 eV per formula unit
- Total magnetization: 0.00 μB/f.u.

***

[6]
Entry from Alexandria via LeMat-Bulk: an optimized crystal structure of Pr8Os3SeBr4 (GGA-PBE).

POSCAR file:
```
Pr8Os3SeBr4
1.0
4.247 2.452 7.744
-4.247 2.452 7.744
0.000 -4.904 7.744
Pr Os Se Br
8 3 1 4
Cartesian
-2.251 -1.300 13.142 Pr
0.000 0.000 5.425 Pr
0.000 -2.599 10.091 Pr
-2.251 1.300 10.091 Pr
2.251 -1.300 13.142 Pr
0.000 2.599 13.142 Pr
0.000 0.000 17.807 Pr
2.251 1.300 10.091 Pr
-4.247 0.000 11.616 Os
-2.124 1.226 3.872 Os
2.124 1.226 3.872 Os
0.000 0.000 11.616 Se
0.000 0.000 0.000 Br
-2.124 -1.226 7.744 Br
-2.124 1.226 15.488 Br
0.000 2.452 7.744 Br
```

Output
- Crystal system: trigonal
- Total magnetization: 0.00 μB/f.u.

***

Taking the records one at a time from the top gives E_tot values of -4.825; -6.834; -5.558; -4.905; -5.544; -6.013 eV per atom.